## one
The following is a PBE calculation of a geometry-optimized TiTcH3 structure, from the Alexandria database.

Unit cell a=3.4499 b=3.4499 c=3.4499 alpha=90.00 beta=90.00 gamma=90.00
Fractional coordinates of all 5 atoms:
H: 0.0000 0.5000 0.0000
H: 0.0000 0.0000 0.5000
H: 0.5000 0.0000 0.0000
Tc: 0.0000 0.0000 0.0000
Ti: 0.5000 0.5000 0.5000

## two
The following is a PBE calculation of a geometry-optimized TiTcH3 structure, from the Alexandria database.

Unit cell a=3.3994 b=3.3994 c=3.3994 alpha=90.00 beta=90.00 gamma=90.00
Fractional coordinates of all 5 atoms:
H: 0.0000 0.5000 0.0000
H: 0.0000 0.0000 0.5000
H: 0.5000 0.0000 0.0000
Tc: 0.5000 0.5000 0.5000
Ti: 0.0000 0.0000 0.0000

Most stable to least stable, the ends of the list are one and two.

## one
The following is a PBE calculation of a geometry-optimized Tl3TcH structure, from the Alexandria database.

Unit cell a=4.6920 b=4.6920 c=4.6920 alpha=90.00 beta=90.00 gamma=90.00
Last column: magnetic moment on the atom in μB.
Fractional coordinates of all 5 atoms:
H: 0.0000 0.0000 0.0000  -0.01
Tl: 0.0000 0.5000 0.0000  -0.01
Tl: 0.0000 0.0000 0.5000  0.02
Tl: 0.5000 0.0000 0.0000  0.00
Tc: 0.5000 0.5000 0.5000  2.59

## two
The following is a PBE calculation of a geometry-optimized Tl3TcH structure, from the Alexandria database.

Unit cell a=5.3370 b=5.3370 c=5.3370 alpha=90.00 beta=90.00 gamma=90.00
Last column: magnetic moment on the atom in μB.
Fractional coordinates of all 5 atoms:
H: 0.5000 0.5000 0.5000  0.31
Tl: 0.0000 0.5000 0.0000  0.00
Tl: 0.0000 0.0000 0.5000  -0.01
Tl: 0.5000 0.0000 0.0000  -0.01
Tc: 0.0000 0.0000 0.0000  0.55

Most stable to least stable, the ends of the list are two and one.

## one
The following is a PBE calculation of a geometry-optimized TmTcH4 structure, from the Alexandria database.

Unit cell a=5.0142 b=4.4959 c=5.8977 alpha=106.70 beta=109.93 gamma=102.76
Fractional coordinates of all 12 atoms:
Tm: 0.3667 0.6167 0.2333
Tm: 0.6333 0.3833 0.7667
Tc: 0.0778 0.8278 0.6556
Tc: 0.9222 0.1722 0.3444
H: 0.9283 0.2455 0.0697
H: 0.6413 0.8242 0.0697
H: 0.2768 0.5504 0.5737
H: 0.7232 0.4496 0.4263
H: 0.2031 0.9767 0.4263
H: 0.3587 0.1758 0.9303
H: 0.7969 0.0233 0.5737
H: 0.0717 0.7545 0.9303

## two
The following is a PBE calculation of a geometry-optimized TmTcH4 structure, from the Alexandria database.

Unit cell a=3.6421 b=3.6421 c=8.6825 alpha=90.00 beta=90.00 gamma=69.94
Fractional coordinates of all 12 atoms:
Tm: 0.9983 0.0017 0.5000
Tm: 0.9983 0.0017 0.0000
Tc: 0.6498 0.6546 0.2500
Tc: 0.3455 0.3502 0.7500
H: 0.8543 0.3195 0.7500
H: 0.6433 0.6478 0.0498
H: 0.6433 0.6478 0.4502
H: 0.3522 0.3567 0.5498
H: 0.3522 0.3567 0.9502
H: 0.3356 0.8532 0.7500
H: 0.6805 0.1457 0.2500
H: 0.1468 0.6644 0.2500

Most stable to least stable, the ends of the list are two and one.

## one
The following is a PBE calculation of a geometry-optimized VTcH3 structure, from the Alexandria database.

Unit cell a=3.4380 b=3.4380 c=3.4380 alpha=90.00 beta=90.00 gamma=90.00
Last column: magnetic moment on the atom in μB.
Fractional coordinates of all 5 atoms:
H: 0.0000 0.5000 0.0000  -0.01
H: 0.0000 0.0000 0.5000  -0.01
H: 0.5000 0.0000 0.0000  -0.01
Tc: 0.0000 0.0000 0.0000  0.34
V: 0.5000 0.5000 0.5000  2.30

## two
The following is a PBE calculation of a geometry-optimized VTcH3 structure, from the Alexandria database.

Unit cell a=3.3179 b=3.3179 c=3.3179 alpha=90.00 beta=90.00 gamma=90.00
Last column: magnetic moment on the atom in μB.
Fractional coordinates of all 5 atoms:
H: 0.0000 0.5000 0.0000  0.00
H: 0.0000 0.0000 0.5000  0.00
H: 0.5000 0.0000 0.0000  0.00
Tc: 0.5000 0.5000 0.5000  0.28
V: 0.0000 0.0000 0.0000  0.24

Most stable to least stable, the ends of the list are one and two.

## one
The following is a PBE calculation of a geometry-optimized VTc3H structure, from the Alexandria database.

Unit cell a=3.9093 b=3.9093 c=3.9093 alpha=90.00 beta=90.00 gamma=90.00
Fractional coordinates of all 5 atoms:
H: 0.0000 0.0000 0.0000
Tc: 0.0000 0.5000 0.0000
Tc: 0.0000 0.0000 0.5000
Tc: 0.5000 0.0000 0.0000
V: 0.5000 0.5000 0.5000

## two
The following is a PBE calculation of a geometry-optimized VTc3H structure, from the Alexandria database.

Unit cell a=4.4735 b=4.4735 c=4.4735 alpha=90.00 beta=90.00 gamma=90.00
Last column: magnetic moment on the atom in μB.
Fractional coordinates of all 5 atoms:
H: 0.5000 0.5000 0.5000  -0.06
Tc: 0.0000 0.5000 0.0000  0.70
Tc: 0.0000 0.0000 0.5000  0.70
Tc: 0.5000 0.0000 0.0000  0.70
V: 0.0000 0.0000 0.0000  -0.20

Most stable to least stable, the ends of the list are one and two.

## one
The following is a PBE calculation of a geometry-optimized VTc2H2 structure, from the Alexandria database.

Unit cell a=6.3005 b=6.3005 c=2.7540 alpha=90.00 beta=90.00 gamma=90.00
Fractional coordinates of all 10 atoms:
H: 0.2307 0.7307 0.5000
H: 0.7307 0.7693 0.5000
H: 0.7693 0.2693 0.5000
H: 0.2693 0.2307 0.5000
Tc: 0.3663 0.8663 0.0000
Tc: 0.8663 0.6337 0.0000
Tc: 0.6337 0.1337 0.0000
Tc: 0.1337 0.3663 0.0000
V: 0.0000 0.0000 0.0000
V: 0.5000 0.5000 0.0000

## two
The following is a PBE calculation of a geometry-optimized VTc2H2 structure, from the Alexandria database.

Unit cell a=5.6776 b=5.6776 c=3.0115 alpha=90.00 beta=90.00 gamma=90.00
Fractional coordinates of all 10 atoms:
H: 0.3026 0.8026 0.0000
H: 0.8026 0.6974 0.0000
H: 0.6974 0.1974 0.0000
H: 0.1974 0.3026 0.0000
Tc: 0.1562 0.6562 0.5000
Tc: 0.6562 0.8438 0.5000
Tc: 0.8438 0.3438 0.5000
Tc: 0.3438 0.1562 0.5000
V: 0.0000 0.0000 0.0000
V: 0.5000 0.5000 0.0000

Most stable to least stable, the ends of the list are two and one.

## one
The following is a PBE calculation of a geometry-optimized V2TcH2 structure, from the Alexandria database.

Unit cell a=2.9656 b=2.9656 c=5.7284 alpha=75.00 beta=75.00 gamma=90.00
Fractional coordinates of all 5 atoms:
H: 0.7500 0.2500 0.5000
H: 0.2500 0.7500 0.5000
Tc: 0.0000 0.0000 0.0000
V: 0.3550 0.3550 0.2900
V: 0.6450 0.6450 0.7100

## two
The following is a PBE calculation of a geometry-optimized V2TcH2 structure, from the Alexandria database.

Unit cell a=5.6860 b=5.6860 c=2.9297 alpha=90.00 beta=90.00 gamma=90.00
Fractional coordinates of all 10 atoms:
H: 0.3450 0.8450 0.0000
H: 0.8450 0.6550 0.0000
H: 0.6550 0.1550 0.0000
H: 0.1550 0.3450 0.0000
Tc: 0.0000 0.0000 0.0000
Tc: 0.5000 0.5000 0.0000
V: 0.1605 0.6605 0.5000
V: 0.6605 0.8395 0.5000
V: 0.8395 0.3395 0.5000
V: 0.3395 0.1605 0.5000

Most stable to least stable, the ends of the list are one and two.

## one
The following is a PBE calculation of a geometry-optimized Tc2H2W structure, from the Alexandria database.

Unit cell a=2.9176 b=2.9176 c=6.3765 alpha=76.77 beta=76.77 gamma=90.00
Fractional coordinates of all 5 atoms:
H: 0.7500 0.2500 0.5000
H: 0.2500 0.7500 0.5000
Tc: 0.3508 0.3508 0.2984
Tc: 0.6492 0.6492 0.7016
W: 0.0000 0.0000 0.0000

## two
The following is a PBE calculation of a geometry-optimized Tc2H2W structure, from the Alexandria database.

Unit cell a=5.9690 b=5.9690 c=2.9525 alpha=90.00 beta=90.00 gamma=90.00
Fractional coordinates of all 10 atoms:
H: 0.2896 0.7896 0.0000
H: 0.7896 0.7104 0.0000
H: 0.7104 0.2104 0.0000
H: 0.2104 0.2896 0.0000
Tc: 0.1431 0.6431 0.5000
Tc: 0.6431 0.8569 0.5000
Tc: 0.8569 0.3569 0.5000
Tc: 0.3569 0.1431 0.5000
W: 0.0000 0.0000 0.0000
W: 0.5000 0.5000 0.0000

Most stable to least stable, the ends of the list are one and two.